Entry 1:
## Tb2Nd12Er5 (PBE)

Data for crystalline Tb2Nd12Er5 at its relaxed geometry.

```
Tb2Nd12Er5
1.0
7.6542 -5.2814 0.0000
7.6542 5.2814 0.0000
-0.4634 0.0000 8.0568
Tb Nd Er
2 12 5
Direct
0.2349 0.7651 0.0000 Tb
0.7651 0.2349 0.0000 Tb
0.0541 0.0541 0.7128 Nd
0.0879 0.5395 0.2074 Nd
0.1208 0.6663 0.6132 Nd
0.3337 0.8792 0.3868 Nd
0.3643 0.3643 0.8895 Nd
0.4605 0.9121 0.7926 Nd
0.5395 0.0879 0.2074 Nd
0.6357 0.6357 0.1105 Nd
0.6663 0.1208 0.6132 Nd
0.8792 0.3337 0.3868 Nd
0.9121 0.4605 0.7926 Nd
0.9459 0.9459 0.2872 Nd
0.1551 0.1551 0.0943 Er
0.2577 0.2577 0.5120 Er
0.5000 0.5000 0.5000 Er
0.7423 0.7423 0.4880 Er
0.8449 0.8449 0.9057 Er
```

- size of the total moment (μB/atom) = 0.00
- DFT total energy (eV/atom) = -4.569
- space group = No. 12
- ΔE_f (kcal/mol of atoms) = 3.01


Entry 2:
## Tb3Nd4Er3 (PBE)

Data for crystalline Tb3Nd4Er3 at its relaxed geometry.

```
Tb3Nd4Er3
1.0
3.8159 0.0000 0.0000
0.0000 6.5989 6.5860
0.0000 -6.5989 6.5860
Tb Nd Er
3 4 3
Direct
0.0000 0.0000 0.0000 Tb
0.5000 0.3333 0.8307 Tb
0.5000 0.8307 0.3333 Tb
0.5000 0.2012 0.2012 Nd
0.5000 0.4623 0.4623 Nd
0.5000 0.7002 0.9625 Nd
0.5000 0.9625 0.7002 Nd
0.0000 0.1635 0.5002 Er
0.0000 0.5002 0.1635 Er
0.0000 0.6633 0.6633 Er
```

- size of the total moment (μB/atom) = 0.00
- DFT total energy (eV/atom) = -4.564
- space group = No. 38
- ΔE_f (kcal/mol of atoms) = 2.32


Entry 3:
## Tb5Nd12Er (PBE)

Data for crystalline Tb5Nd12Er at its relaxed geometry.

```
Tb5Nd12Er
1.0
7.7100 -7.7238 0.0000
7.7100 7.7238 0.0000
0.0000 0.0000 5.1521
Tb Nd Er
5 12 1
Direct
0.0000 0.0000 0.0000 Tb
0.1664 0.8336 0.5000 Tb
0.3335 0.6665 0.0000 Tb
0.6665 0.3335 0.0000 Tb
0.8336 0.1664 0.5000 Tb
0.0012 0.6679 0.0000 Nd
0.1657 0.1657 0.5000 Nd
0.1685 0.5017 0.5000 Nd
0.3321 0.9988 0.0000 Nd
0.3355 0.3355 0.0000 Nd
0.4983 0.8315 0.5000 Nd
0.5017 0.1685 0.5000 Nd
0.6645 0.6645 0.0000 Nd
0.6679 0.0012 0.0000 Nd
0.8315 0.4983 0.5000 Nd
0.8343 0.8343 0.5000 Nd
0.9988 0.3321 0.0000 Nd
0.5000 0.5000 0.5000 Er
```

- size of the total moment (μB/atom) = 0.00
- DFT total energy (eV/atom) = -4.700
- space group = No. 65
- ΔE_f (kcal/mol of atoms) = 0.41


Entry 4:
## Tb2Nd2Er7 (PBE)

Data for crystalline Tb2Nd2Er7 at its relaxed geometry.

```
Tb2Nd2Er7
1.0
5.5952 -5.7589 0.0000
5.5952 5.7589 0.0000
-2.4535 0.0000 5.5361
Tb Nd Er
2 2 7
Direct
0.2120 0.7880 0.0000 Tb
0.7880 0.2120 0.0000 Tb
0.4046 0.4046 0.6920 Nd
0.5954 0.5954 0.3080 Nd
0.0000 0.0000 0.5000 Er
0.0643 0.5887 0.3217 Er
0.2297 0.2297 0.0776 Er
0.4113 0.9357 0.6783 Er
0.5887 0.0643 0.3217 Er
0.7703 0.7703 0.9224 Er
0.9357 0.4113 0.6783 Er
```

- size of the total moment (μB/atom) = 0.00
- DFT total energy (eV/atom) = -4.460
- space group = No. 12
- ΔE_f (kcal/mol of atoms) = 3.52


Entry 5:
## Tb2Nd5Er2 (PBE)

Data for crystalline Tb2Nd5Er2 at its relaxed geometry.

```
Tb2Nd5Er2
1.0
-7.5867 6.4586 3.1122
7.5867 -6.4586 3.1122
7.5867 6.4586 -3.1122
Tb Nd Er
4 10 4
Direct
0.0000 0.0000 0.0000 Tb
0.0000 0.5000 0.5000 Tb
0.0760 0.8824 0.6936 Tb
0.1888 0.3824 0.3064 Tb
0.2143 0.3648 0.7528 Nd
0.2143 0.9616 0.3496 Nd
0.2540 0.7130 0.8288 Nd
0.2540 0.9252 0.0410 Nd
0.4812 0.4074 0.5738 Nd
0.6120 0.4616 0.2472 Nd
0.6120 0.8648 0.6504 Nd
0.8336 0.9074 0.4262 Nd
0.8841 0.2130 0.9590 Nd
0.8841 0.4252 0.1712 Nd
0.5144 0.6998 0.0859 Er
0.5144 0.9286 0.3146 Er
0.6140 0.1998 0.6854 Er
0.6140 0.4286 0.9141 Er
```

- size of the total moment (μB/atom) = 0.00
- DFT total energy (eV/atom) = -4.523
- space group = No. 46
- ΔE_f (kcal/mol of atoms) = 3.90


Entry 6:
## Tb5Nd2Er4 (PBE)

Data for crystalline Tb5Nd2Er4 at its relaxed geometry.

```
Tb5Nd2Er4
1.0
-1.7458 4.5130 11.6359
1.7458 -4.5130 11.6359
1.7458 4.5130 -11.6359
Tb Nd Er
5 2 4
Direct
0.0000 0.0000 0.0000 Tb
0.0543 0.3583 0.6959 Tb
0.3376 0.6417 0.6959 Tb
0.6624 0.3583 0.3041 Tb
0.9457 0.6417 0.3041 Tb
0.2676 0.7676 0.5000 Nd
0.7324 0.2324 0.5000 Nd
0.3122 0.5000 0.8122 Er
0.4032 0.9032 0.5000 Er
0.5968 0.0968 0.5000 Er
0.6878 0.5000 0.1878 Er
```

- size of the total moment (μB/atom) = 0.00
- DFT total energy (eV/atom) = -4.437
- space group = No. 71
- ΔE_f (kcal/mol of atoms) = 4.48


Entry 7:
## Tb6NdEr8 (PBE)

Data for crystalline Tb6NdEr8 at its relaxed geometry.

```
Tb6NdEr8
1.0
4.4993 2.5977 6.8330
-4.4993 2.5977 6.8330
0.0000 -5.1953 6.8330
Tb Nd Er
6 1 8
Direct
0.0381 0.7277 0.6093 Tb
0.2723 0.3907 0.9619 Tb
0.3907 0.9619 0.2723 Tb
0.6093 0.0381 0.7277 Tb
0.7277 0.6093 0.0381 Tb
0.9619 0.2723 0.3907 Tb
0.5000 0.5000 0.5000 Nd
0.0763 0.0763 0.0763 Er
0.2205 0.2431 0.6106 Er
0.2431 0.6106 0.2205 Er
0.3894 0.7795 0.7569 Er
0.6106 0.2205 0.2431 Er
0.7569 0.3894 0.7795 Er
0.7795 0.7569 0.3894 Er
0.9237 0.9237 0.9237 Er
```

- size of the total moment (μB/atom) = 0.00
- DFT total energy (eV/atom) = -4.471
- space group = No. 148
- ΔE_f (kcal/mol of atoms) = 3.06


Entry 8:
## TbNd12Er3 (PBE)

Data for crystalline TbNd12Er3 at its relaxed geometry.

```
TbNd12Er3
1.0
5.1515 0.0000 0.0000
0.0000 5.1515 0.0000
0.0000 0.0000 20.5290
Tb Nd Er
1 12 3
Direct
0.0000 0.0000 0.0000 Tb
0.0000 0.5000 0.1257 Nd
0.0000 0.5000 0.3752 Nd
0.0000 0.5000 0.6248 Nd
0.0000 0.5000 0.8743 Nd
0.5000 0.0000 0.1257 Nd
0.5000 0.0000 0.3752 Nd
0.5000 0.0000 0.6248 Nd
0.5000 0.0000 0.8743 Nd
0.5000 0.5000 0.0000 Nd
0.5000 0.5000 0.2506 Nd
0.5000 0.5000 0.5000 Nd
0.5000 0.5000 0.7494 Nd
0.0000 0.0000 0.2505 Er
0.0000 0.0000 0.5000 Er
0.0000 0.0000 0.7495 Er
```

- size of the total moment (μB/atom) = 0.00
- DFT total energy (eV/atom) = -4.707
- space group = No. 123
- ΔE_f (kcal/mol of atoms) = 0.31


Entry 9:
## Tb3NdEr6 (PBE)

Data for crystalline Tb3NdEr6 at its relaxed geometry.

```
Tb3NdEr6
1.0
4.8982 2.8280 3.8584
-4.8982 2.8280 3.8584
0.0000 -5.6560 3.8584
Tb Nd Er
3 1 6
Direct
0.0000 0.0000 0.0000 Tb
0.2474 0.2474 0.2474 Tb
0.7520 0.7520 0.7520 Tb
0.5001 0.5001 0.5001 Nd
0.0010 0.6718 0.3294 Er
0.1695 0.5009 0.8318 Er
0.3294 0.0010 0.6718 Er
0.5009 0.8318 0.1695 Er
0.6718 0.3294 0.0010 Er
0.8318 0.1695 0.5009 Er
```

- size of the total moment (μB/atom) = 0.00
- DFT total energy (eV/atom) = -4.313
- space group = No. 146
- ΔE_f (kcal/mol of atoms) = 6.71


Entry 10:
## Tb3Nd5Er3 (PBE)

Data for crystalline Tb3Nd5Er3 at its relaxed geometry.

```
Tb3Nd5Er3
1.0
11.2985 0.0000 0.0000
-5.6493 9.7848 0.0000
0.0000 0.0000 3.4592
Tb Nd Er
3 5 3
Direct
0.0000 0.4039 0.0000 Tb
0.4039 0.0000 0.0000 Tb
0.5961 0.5961 0.0000 Tb
0.0000 0.6618 0.5000 Nd
0.3333 0.6667 0.5000 Nd
0.3382 0.3382 0.5000 Nd
0.6618 0.0000 0.5000 Nd
0.6667 0.3333 0.5000 Nd
0.0000 0.1592 0.5000 Er
0.1592 0.0000 0.5000 Er
0.8408 0.8408 0.5000 Er
```

- size of the total moment (μB/atom) = 0.00
- DFT total energy (eV/atom) = -4.359
- space group = No. 189
- ΔE_f (kcal/mol of atoms) = 7.27


Entry 11:
## TbNd8Er6 (PBE)

Data for crystalline TbNd8Er6 at its relaxed geometry.

```
TbNd8Er6
1.0
4.8417 2.7953 6.1567
-4.8417 2.7953 6.1567
0.0000 -5.5907 6.1567
Tb Nd Er
1 8 6
Direct
0.0000 0.0000 0.0000 Tb
0.0731 0.7749 0.6421 Nd
0.2251 0.3579 0.9269 Nd
0.3579 0.9269 0.2251 Nd
0.4193 0.4193 0.4193 Nd
0.5807 0.5807 0.5807 Nd
0.6421 0.0731 0.7749 Nd
0.7749 0.6421 0.0731 Nd
0.9269 0.2251 0.3579 Nd
0.0833 0.5958 0.2810 Er
0.2810 0.0833 0.5958 Er
0.4042 0.7190 0.9167 Er
0.5958 0.2810 0.0833 Er
0.7190 0.9167 0.4042 Er
0.9167 0.4042 0.7190 Er
```

- size of the total moment (μB/atom) = 0.00
- DFT total energy (eV/atom) = -4.503
- space group = No. 148
- ΔE_f (kcal/mol of atoms) = 4.01


Entry 12:
## TbNd8Er6 (PBE)

Data for crystalline TbNd8Er6 at its relaxed geometry.

```
TbNd8Er6
1.0
9.4286 0.0000 0.0000
-4.7143 8.1654 0.0000
0.0000 0.0000 6.5489
Tb Nd Er
1 8 6
Direct
0.0000 0.0000 0.0000 Tb
0.0383 0.7506 0.6681 Nd
0.2494 0.2877 0.6681 Nd
0.2877 0.0383 0.3319 Nd
0.3333 0.6667 0.6215 Nd
0.6667 0.3333 0.3785 Nd
0.7123 0.9617 0.6681 Nd
0.7506 0.7123 0.3319 Nd
0.9617 0.2494 0.3319 Nd
0.0954 0.6563 0.1582 Er
0.3437 0.4391 0.1582 Er
0.4391 0.0954 0.8418 Er
0.5609 0.9046 0.1582 Er
0.6563 0.5609 0.8418 Er
0.9046 0.3437 0.8418 Er
```

- size of the total moment (μB/atom) = 0.00
- DFT total energy (eV/atom) = -4.499
- space group = No. 147
- ΔE_f (kcal/mol of atoms) = 4.09